# 1
# Li2MgRhN PBE relaxed
# DOS at the Fermi energy ... 3.89 states/eV/f.u.
# Uncorrected formation energy ... -0.233 eV per atom
# Crystal system ... tetragonal
data_Li2MgRhN
_chemical_formula_sum 'Li2 Mg1 Rh1 N1'
_space_group_name_H-M_alt 'P 4/m m m'
_space_group_IT_number 123
_space_group_name_Hall '-P 4 2'
_cell_length_a 4.176
_cell_length_b 4.176
_cell_length_c 3.858
_cell_angle_alpha 90.00
_cell_angle_beta 90.00
_cell_angle_gamma 90.00
loop_
_atom_site_label
_atom_site_type_symbol
_atom_site_fract_x
_atom_site_fract_y
_atom_site_fract_z
Li1 Li 0.000 0.500 0.000
Mg1 Mg 0.000 0.000 0.500
Rh1 Rh 0.500 0.500 0.500
N1 N 0.500 0.500 0.000

***

# 2
# Li2MgRuN PBE relaxed
# DOS at the Fermi energy ... 1.36 states/eV/f.u.
# Uncorrected formation energy ... -0.198 eV per atom
# Crystal system ... tetragonal
data_Li2MgRuN
_chemical_formula_sum 'Li2 Mg1 Ru1 N1'
_space_group_name_H-M_alt 'P 4/m m m'
_space_group_IT_number 123
_space_group_name_Hall '-P 4 2'
_cell_length_a 4.129
_cell_length_b 4.129
_cell_length_c 3.854
_cell_angle_alpha 90.00
_cell_angle_beta 90.00
_cell_angle_gamma 90.00
loop_
_atom_site_label
_atom_site_type_symbol
_atom_site_fract_x
_atom_site_fract_y
_atom_site_fract_z
Li1 Li 0.000 0.500 0.000
Mg1 Mg 0.000 0.000 0.500
Ru1 Ru 0.500 0.500 0.500
N1 N 0.500 0.500 0.000

***

# 3
# LiMgS2N PBE relaxed
# Offset from the most stable computed form ... 0 meV per atom
# DOS at the Fermi energy ... 2.75 states/eV/f.u.
# Uncorrected formation energy ... 0.386 eV per atom
# Crystal system ... tetragonal
data_LiMgS2N
_chemical_formula_sum 'Li1 Mg1 S2 N1'
_space_group_name_H-M_alt 'P 4/m m m'
_space_group_IT_number 123
_space_group_name_Hall '-P 4 2'
_cell_length_a 4.926
_cell_length_b 4.926
_cell_length_c 4.180
_cell_angle_alpha 90.00
_cell_angle_beta 90.00
_cell_angle_gamma 90.00
loop_
_atom_site_label
_atom_site_type_symbol
_atom_site_fract_x
_atom_site_fract_y
_atom_site_fract_z
Li1 Li 0.000 0.000 0.000
Mg1 Mg 0.500 0.500 0.500
S1 S 0.000 0.500 0.500
N1 N 0.500 0.500 0.000

***

# 4
# LiMgS2N PBE relaxed
# Offset from the most stable computed form ... 149 meV per atom
# DOS at the Fermi energy ... 3.49 states/eV/f.u.
# Uncorrected formation energy ... 0.534 eV per atom
# Crystal system ... tetragonal
data_LiMgS2N
_chemical_formula_sum 'Li1 Mg1 S2 N1'
_space_group_name_H-M_alt 'P 4/m m m'
_space_group_IT_number 123
_space_group_name_Hall '-P 4 2'
_cell_length_a 4.544
_cell_length_b 4.544
_cell_length_c 3.597
_cell_angle_alpha 90.00
_cell_angle_beta 90.00
_cell_angle_gamma 90.00
loop_
_atom_site_label
_atom_site_type_symbol
_atom_site_fract_x
_atom_site_fract_y
_atom_site_fract_z
Li1 Li 0.000 0.000 0.000
Mg1 Mg 0.500 0.500 0.500
S1 S 0.000 0.500 0.000
N1 N 0.000 0.000 0.500

***

# 5
# LiMgSN2 PBE relaxed
# Offset from the most stable computed form ... 135 meV per atom
# DOS at the Fermi energy ... 2.83 states/eV/f.u.
# Uncorrected formation energy ... 1.076 eV per atom
# Crystal system ... tetragonal
data_LiMgSN2
_chemical_formula_sum 'Li1 Mg1 S1 N2'
_space_group_name_H-M_alt 'P 4/m m m'
_space_group_IT_number 123
_space_group_name_Hall '-P 4 2'
_cell_length_a 3.674
_cell_length_b 3.674
_cell_length_c 5.008
_cell_angle_alpha 90.00
_cell_angle_beta 90.00
_cell_angle_gamma 90.00
loop_
_atom_site_label
_atom_site_type_symbol
_atom_site_fract_x
_atom_site_fract_y
_atom_site_fract_z
Li1 Li 0.000 0.000 0.000
Mg1 Mg 0.500 0.500 0.500
S1 S 0.000 0.000 0.500
N1 N 0.000 0.500 0.000

***

# 6
# LiMgSN2 PBE relaxed
# Offset from the most stable computed form ... 0 meV per atom
# DOS at the Fermi energy ... 2.21 states/eV/f.u.
# Uncorrected formation energy ... 0.941 eV per atom
# Crystal system ... tetragonal
data_LiMgSN2
_chemical_formula_sum 'Li1 Mg1 S1 N2'
_space_group_name_H-M_alt 'P 4/m m m'
_space_group_IT_number 123
_space_group_name_Hall '-P 4 2'
_cell_length_a 4.182
_cell_length_b 4.182
_cell_length_c 5.084
_cell_angle_alpha 90.00
_cell_angle_beta 90.00
_cell_angle_gamma 90.00
loop_
_atom_site_label
_atom_site_type_symbol
_atom_site_fract_x
_atom_site_fract_y
_atom_site_fract_z
Li1 Li 0.000 0.000 0.000
Mg1 Mg 0.500 0.500 0.500
S1 S 0.500 0.500 0.000
N1 N 0.000 0.500 0.500

***

no.,size of the total moment (μB/atom)
1,0.01
2,0.08
3,0.74
4,0.00
5,0.57
6,1.01